[1]
Hf2Si2Ag | PBEsol | optimized geometry

Structure (extended XYZ):
```
5
Lattice="4.3512 0.0000 0.0000 0.0000 4.3512 0.0000 -2.1756 -2.1756 5.2879" Properties=species:S:1:pos:R:3 pbc="T T T"
Ag 0.0000 0.0000 0.0000
Si 0.0000 0.0000 4.1494
Hf 2.1756 0.0000 2.6439
Si 2.1756 2.1756 1.1385
Hf 0.0000 2.1756 2.6439
```

Calculated values
The formation energy from raw total energies is 47 kJ/mol of formula units. The calculation puts the density of states at the Fermi level at 0.798 states/eV/atom. Its raw total energy is -35.324 eV per formula unit. Its space group is I4/mmm.

[2]
InAsBr2 | PBEsol | optimized geometry

Structure (extended XYZ):
```
4
Lattice="3.9079 0.0000 0.0000 0.0000 3.9079 0.0000 0.0000 0.0000 8.0184" Properties=species:S:1:pos:R:3 pbc="T T T"
As 1.9540 1.9540 4.6620
Br 0.0000 0.0000 7.7787
In 0.0000 0.0000 5.2737
Br 1.9540 1.9540 2.3317
```

Calculated values
The formation energy from raw total energies is -104 kJ/mol of formula units. The calculation puts the density of states at the Fermi level at 0.263 states/eV/atom. Its raw total energy is -12.909 eV per formula unit. Its space group is P4mm. The calculation puts the relative energy among the computed polymorphs at 0 meV/atom.

[3]
In2Hg | PBEsol | optimized geometry

Structure (extended XYZ):
```
9
Lattice="-0.7408 -2.9574 2.7766 -1.9184 -4.9865 -5.8229 7.4835 0.4687 2.4957" Properties=species:S:1:pos:R:3 pbc="T T T"
Hg 1.2156 -3.1681 -3.0500
In 2.0065 0.1257 0.6692
In -0.5144 -1.3370 -1.5613
Hg 4.3495 -1.3497 -0.2771
In -1.5274 -4.4862 -2.1237
Hg -0.3704 -1.4787 1.3883
In 4.1432 -1.1960 2.8936
In 1.8382 -3.2716 0.0679
In 4.0730 -3.3064 -2.4350
```

Calculated values
The calculation puts the formation energy from the elements at -0.05 eV per formula unit. The calculation puts the density of states at the Fermi level at 0.366 states/eV/atom. Its raw total energy is -6.579 eV per formula unit. Its space group is P-62m. The calculation puts the relative energy among the computed polymorphs at 0 meV/atom.

[4]
MoPPdRu2 | PBEsol | optimized geometry

Structure (extended XYZ):
```
5
Lattice="-0.8126 2.5909 -3.6090 0.2264 -3.6400 -2.6641 -4.6294 -0.6889 0.5478" Properties=species:S:1:pos:R:3 pbc="T T T"
Mo 0.0000 0.0000 0.0000
Pd -2.3147 -0.3444 0.2739
Ru 0.1132 -1.8200 -1.3320
Ru -0.4063 1.2954 -1.8045
P -2.6078 -0.8690 -2.8626
```

Calculated values
The calculation puts the formation energy from the elements at 8.73 eV per formula unit. The calculation puts the density of states at the Fermi level at 0.969 states/eV/atom. Its raw total energy is -35.128 eV per formula unit. Its space group is P4/mmm.